No. 1
# GGA-PBE NiSb3I, optimized geometry
# relative energy among the computed polymorphs = 0.00 eV/f.u.
# energy = -3.605 eV per atom
# formation energy (no corrections) = 0.335 eV/atom
data_NiSb3I
_chemical_formula_sum 'Ni1 Sb3 I1'
_symmetry_space_group_name_H-M 'P 1'
_symmetry_Int_Tables_number 1
_symmetry_space_group_name_Hall 'P 1'
_cell_length_a 5.108
_cell_length_b 5.108
_cell_length_c 5.108
_cell_angle_alpha 90.00
_cell_angle_beta 90.00
_cell_angle_gamma 90.00
loop_
_atom_site_label
_atom_site_fract_x
_atom_site_fract_y
_atom_site_fract_z
_atom_site_occupancy
I1 0.500 0.500 0.500 1
Sb1 0.000 0.500 0.000 1
Sb2 0.000 0.000 0.500 1
Sb3 0.500 0.000 0.000 1
Ni1 0.000 0.000 0.000 1

No. 2
# GGA-PBE NiSbI3, optimized geometry
# relative energy among the computed polymorphs = 0.00 eV/f.u.
# energy = -2.658 eV per atom
# formation energy (no corrections) = 0.253 eV/atom
data_NiSbI3
_chemical_formula_sum 'Ni1 Sb1 I3'
_symmetry_space_group_name_H-M 'P 1'
_symmetry_Int_Tables_number 1
_symmetry_space_group_name_Hall 'P 1'
_cell_length_a 5.252
_cell_length_b 5.252
_cell_length_c 5.252
_cell_angle_alpha 90.00
_cell_angle_beta 90.00
_cell_angle_gamma 90.00
loop_
_atom_site_label
_atom_site_fract_x
_atom_site_fract_y
_atom_site_fract_z
_atom_site_occupancy
I1 0.000 0.500 0.000 1
I2 0.000 0.000 0.500 1
I3 0.500 0.000 0.000 1
Sb1 0.500 0.500 0.500 1
Ni1 0.000 0.000 0.000 1

No. 3
# GGA-PBE Ni3SbI, optimized geometry
# relative energy among the computed polymorphs = 0.00 eV/f.u.
# energy = -3.773 eV per atom
# formation energy (no corrections) = 0.831 eV/atom
data_Ni3SbI
_chemical_formula_sum 'Ni3 Sb1 I1'
_symmetry_space_group_name_H-M 'P 1'
_symmetry_Int_Tables_number 1
_symmetry_space_group_name_Hall 'P 1'
_cell_length_a 4.789
_cell_length_b 4.789
_cell_length_c 4.789
_cell_angle_alpha 90.00
_cell_angle_beta 90.00
_cell_angle_gamma 90.00
loop_
_atom_site_label
_atom_site_fract_x
_atom_site_fract_y
_atom_site_fract_z
_atom_site_occupancy
I1 0.500 0.500 0.500 1
Sb1 0.000 0.000 0.000 1
Ni1 0.000 0.500 0.000 1
Ni2 0.000 0.000 0.500 1
Ni3 0.500 0.000 0.000 1

No. 4
# GGA-PBE ScNiSb2I, optimized geometry
# relative energy among the computed polymorphs = 0.00 eV/f.u.
# energy = -4.209 eV per atom
# formation energy (no corrections) = 0.172 eV/atom
data_ScNiSb2I
_chemical_formula_sum 'Sc1 Ni1 Sb2 I1'
_symmetry_space_group_name_H-M 'P 1'
_symmetry_Int_Tables_number 1
_symmetry_space_group_name_Hall 'P 1'
_cell_length_a 4.965
_cell_length_b 4.965
_cell_length_c 5.348
_cell_angle_alpha 90.00
_cell_angle_beta 90.00
_cell_angle_gamma 90.00
loop_
_atom_site_label
_atom_site_fract_x
_atom_site_fract_y
_atom_site_fract_z
_atom_site_occupancy
I1 0.000 0.000 0.500 1
Sb1 0.000 0.500 0.000 1
Sb2 0.500 0.000 0.000 1
Sc1 0.500 0.500 0.500 1
Ni1 0.000 0.000 0.000 1

No. 5
# GGA-PBE ScNiSb2I, optimized geometry
# relative energy among the computed polymorphs = 2.30 eV/f.u.
# energy = -3.749 eV per atom
# formation energy (no corrections) = 0.633 eV/atom
data_ScNiSb2I
_chemical_formula_sum 'Sc1 Ni1 Sb2 I1'
_symmetry_space_group_name_H-M 'P 1'
_symmetry_Int_Tables_number 1
_symmetry_space_group_name_Hall 'P 1'
_cell_length_a 5.521
_cell_length_b 5.521
_cell_length_c 5.524
_cell_angle_alpha 90.00
_cell_angle_beta 90.00
_cell_angle_gamma 90.00
loop_
_atom_site_label
_atom_site_fract_x
_atom_site_fract_y
_atom_site_fract_z
_atom_site_occupancy
I1 0.000 0.000 0.500 1
Sb1 0.000 0.500 0.000 1
Sb2 0.500 0.000 0.000 1
Sc1 0.000 0.000 0.000 1
Ni1 0.500 0.500 0.500 1

No. 6
# GGA-PBE ScNiSbI2, optimized geometry
# relative energy among the computed polymorphs = 0.00 eV/f.u.
# energy = -3.703 eV per atom
# formation energy (no corrections) = 0.164 eV/atom
data_ScNiSbI2
_chemical_formula_sum 'Sc1 Ni1 Sb1 I2'
_symmetry_space_group_name_H-M 'P 1'
_symmetry_Int_Tables_number 1
_symmetry_space_group_name_Hall 'P 1'
_cell_length_a 5.123
_cell_length_b 5.123
_cell_length_c 5.246
_cell_angle_alpha 90.00
_cell_angle_beta 90.00
_cell_angle_gamma 90.00
loop_
_atom_site_label
_atom_site_fract_x
_atom_site_fract_y
_atom_site_fract_z
_atom_site_occupancy
I1 0.000 0.500 0.000 1
I2 0.500 0.000 0.000 1
Sb1 0.000 0.000 0.500 1
Sc1 0.500 0.500 0.500 1
Ni1 0.000 0.000 0.000 1

No. 7
# GGA-PBE ScNiSbI2, optimized geometry
# relative energy among the computed polymorphs = 1.03 eV/f.u.
# energy = -3.496 eV per atom
# formation energy (no corrections) = 0.371 eV/atom
data_ScNiSbI2
_chemical_formula_sum 'Sc1 Ni1 Sb1 I2'
_symmetry_space_group_name_H-M 'P 1'
_symmetry_Int_Tables_number 1
_symmetry_space_group_name_Hall 'P 1'
_cell_length_a 5.551
_cell_length_b 5.551
_cell_length_c 5.845
_cell_angle_alpha 90.00
_cell_angle_beta 90.00
_cell_angle_gamma 90.00
loop_
_atom_site_label
_atom_site_fract_x
_atom_site_fract_y
_atom_site_fract_z
_atom_site_occupancy
I1 0.000 0.500 0.000 1
I2 0.500 0.000 0.000 1
Sb1 0.000 0.000 0.500 1
Sc1 0.000 0.000 0.000 1
Ni1 0.500 0.500 0.500 1

No. 8
# GGA-PBE NiSbSeI2, optimized geometry
# relative energy among the computed polymorphs = 3.21 eV/f.u.
# energy = -2.249 eV per atom
# formation energy (no corrections) = 1.049 eV/atom
data_NiSbSeI2
_chemical_formula_sum 'Ni1 Sb1 Se1 I2'
_symmetry_space_group_name_H-M 'P 1'
_symmetry_Int_Tables_number 1
_symmetry_space_group_name_Hall 'P 1'
_cell_length_a 5.768
_cell_length_b 5.768
_cell_length_c 5.484
_cell_angle_alpha 90.00
_cell_angle_beta 90.00
_cell_angle_gamma 90.00
loop_
_atom_site_label
_atom_site_fract_x
_atom_site_fract_y
_atom_site_fract_z
_atom_site_occupancy
I1 0.000 0.500 0.000 1
I2 0.500 0.000 0.000 1
Sb1 0.000 0.000 0.500 1
Se1 0.000 0.000 0.000 1
Ni1 0.500 0.500 0.500 1

No. 9
# GGA-PBE NiSbSeI2, optimized geometry
# relative energy among the computed polymorphs = 0.00 eV/f.u.
# energy = -2.891 eV per atom
# formation energy (no corrections) = 0.406 eV/atom
data_NiSbSeI2
_chemical_formula_sum 'Ni1 Sb1 Se1 I2'
_symmetry_space_group_name_H-M 'P 1'
_symmetry_Int_Tables_number 1
_symmetry_space_group_name_Hall 'P 1'
_cell_length_a 5.130
_cell_length_b 5.130
_cell_length_c 5.154
_cell_angle_alpha 90.00
_cell_angle_beta 90.00
_cell_angle_gamma 90.00
loop_
_atom_site_label
_atom_site_fract_x
_atom_site_fract_y
_atom_site_fract_z
_atom_site_occupancy
I1 0.000 0.500 0.000 1
I2 0.500 0.000 0.000 1
Sb1 0.000 0.000 0.500 1
Se1 0.500 0.500 0.500 1
Ni1 0.000 0.000 0.000 1

No. 10
# GGA-PBE SiNiSb2I, optimized geometry
# relative energy among the computed polymorphs = 0.00 eV/f.u.
# energy = -3.533 eV per atom
# formation energy (no corrections) = 0.667 eV/atom
data_SiNiSb2I
_chemical_formula_sum 'Si1 Ni1 Sb2 I1'
_symmetry_space_group_name_H-M 'P 1'
_symmetry_Int_Tables_number 1
_symmetry_space_group_name_Hall 'P 1'
_cell_length_a 4.922
_cell_length_b 4.922
_cell_length_c 5.390
_cell_angle_alpha 90.00
_cell_angle_beta 90.00
_cell_angle_gamma 90.00
loop_
_atom_site_label
_atom_site_fract_x
_atom_site_fract_y
_atom_site_fract_z
_atom_site_occupancy
I1 0.000 0.000 0.500 1
Sb1 0.000 0.500 0.000 1
Sb2 0.500 0.000 0.000 1
Si1 0.500 0.500 0.500 1
Ni1 0.000 0.000 0.000 1

No. 11
# GGA-PBE SiNiSb2I, optimized geometry
# relative energy among the computed polymorphs = 2.01 eV/f.u.
# energy = -3.131 eV per atom
# formation energy (no corrections) = 1.069 eV/atom
data_SiNiSb2I
_chemical_formula_sum 'Si1 Ni1 Sb2 I1'
_symmetry_space_group_name_H-M 'P 1'
_symmetry_Int_Tables_number 1
_symmetry_space_group_name_Hall 'P 1'
_cell_length_a 5.208
_cell_length_b 5.208
_cell_length_c 5.351
_cell_angle_alpha 90.00
_cell_angle_beta 90.00
_cell_angle_gamma 90.00
loop_
_atom_site_label
_atom_site_fract_x
_atom_site_fract_y
_atom_site_fract_z
_atom_site_occupancy
I1 0.000 0.000 0.500 1
Sb1 0.000 0.500 0.000 1
Sb2 0.500 0.000 0.000 1
Si1 0.000 0.000 0.000 1
Ni1 0.500 0.500 0.500 1

No. 12
# GGA-PBE NiSnSbI2, optimized geometry
# relative energy among the computed polymorphs = 0.00 eV/f.u.
# energy = -3.174 eV per atom
# formation energy (no corrections) = 0.227 eV/atom
data_NiSnSbI2
_chemical_formula_sum 'Ni1 Sn1 Sb1 I2'
_symmetry_space_group_name_H-M 'P 1'
_symmetry_Int_Tables_number 1
_symmetry_space_group_name_Hall 'P 1'
_cell_length_a 5.274
_cell_length_b 5.274
_cell_length_c 5.121
_cell_angle_alpha 90.00
_cell_angle_beta 90.00
_cell_angle_gamma 90.00
loop_
_atom_site_label
_atom_site_fract_x
_atom_site_fract_y
_atom_site_fract_z
_atom_site_occupancy
I1 0.000 0.500 0.000 1
I2 0.500 0.000 0.000 1
Sb1 0.000 0.000 0.500 1
Sn1 0.500 0.500 0.500 1
Ni1 0.000 0.000 0.000 1

No. 13
# GGA-PBE NiSnSbI2, optimized geometry
# relative energy among the computed polymorphs = 3.49 eV/f.u.
# energy = -2.477 eV per atom
# formation energy (no corrections) = 0.924 eV/atom
data_NiSnSbI2
_chemical_formula_sum 'Ni1 Sn1 Sb1 I2'
_symmetry_space_group_name_H-M 'P 1'
_symmetry_Int_Tables_number 1
_symmetry_space_group_name_Hall 'P 1'
_cell_length_a 5.935
_cell_length_b 5.935
_cell_length_c 5.944
_cell_angle_alpha 90.00
_cell_angle_beta 90.00
_cell_angle_gamma 90.00
loop_
_atom_site_label
_atom_site_fract_x
_atom_site_fract_y
_atom_site_fract_z
_atom_site_occupancy
I1 0.000 0.500 0.000 1
I2 0.500 0.000 0.000 1
Sb1 0.000 0.000 0.500 1
Sn1 0.000 0.000 0.000 1
Ni1 0.500 0.500 0.500 1

No. 14
# GGA-PBE SrNiSb2I, optimized geometry
# energy = -3.736 eV per atom
# formation energy (no corrections) = -0.284 eV/atom
data_SrNiSb2I
_chemical_formula_sum 'Sr1 Ni1 Sb2 I1'
_symmetry_space_group_name_H-M 'P 1'
_symmetry_Int_Tables_number 1
_symmetry_space_group_name_Hall 'P 1'
_cell_length_a 4.851
_cell_length_b 4.851
_cell_length_c 6.868
_cell_angle_alpha 90.00
_cell_angle_beta 90.00
_cell_angle_gamma 90.00
loop_
_atom_site_label
_atom_site_fract_x
_atom_site_fract_y
_atom_site_fract_z
_atom_site_occupancy
I1 0.000 0.000 0.500 1
Sb1 0.000 0.500 0.000 1
Sb2 0.500 0.000 0.000 1
Ni1 0.000 0.000 0.000 1
Sr1 0.500 0.500 0.500 1

No. 15
# GGA-PBE TaNiSb2I, optimized geometry
# relative energy among the computed polymorphs = 0.15 eV/f.u.
# energy = -4.473 eV per atom
# formation energy (no corrections) = 1.013 eV/atom
data_TaNiSb2I
_chemical_formula_sum 'Ta1 Ni1 Sb2 I1'
_symmetry_space_group_name_H-M 'P 1'
_symmetry_Int_Tables_number 1
_symmetry_space_group_name_Hall 'P 1'
_cell_length_a 5.362
_cell_length_b 5.362
_cell_length_c 5.506
_cell_angle_alpha 90.00
_cell_angle_beta 90.00
_cell_angle_gamma 90.00
loop_
_atom_site_label
_atom_site_fract_x
_atom_site_fract_y
_atom_site_fract_z
_atom_site_occupancy
I1 0.000 0.000 0.500 1
Sb1 0.000 0.500 0.000 1
Sb2 0.500 0.000 0.000 1
Ni1 0.500 0.500 0.500 1
Ta1 0.000 0.000 0.000 1

No. 16
# GGA-PBE TaNiSb2I, optimized geometry
# relative energy among the computed polymorphs = 0.00 eV/f.u.
# energy = -4.503 eV per atom
# formation energy (no corrections) = 0.983 eV/atom
data_TaNiSb2I
_chemical_formula_sum 'Ta1 Ni1 Sb2 I1'
_symmetry_space_group_name_H-M 'P 1'
_symmetry_Int_Tables_number 1
_symmetry_space_group_name_Hall 'P 1'
_cell_length_a 4.913
_cell_length_b 4.913
_cell_length_c 5.109
_cell_angle_alpha 90.00
_cell_angle_beta 90.00
_cell_angle_gamma 90.00
loop_
_atom_site_label
_atom_site_fract_x
_atom_site_fract_y
_atom_site_fract_z
_atom_site_occupancy
I1 0.000 0.000 0.500 1
Sb1 0.000 0.500 0.000 1
Sb2 0.500 0.000 0.000 1
Ni1 0.000 0.000 0.000 1
Ta1 0.500 0.500 0.500 1

No. 17
# GGA-PBE NiSbTe2I, optimized geometry
# relative energy among the computed polymorphs = 0.09 eV/f.u.
# energy = -3.251 eV per atom
# formation energy (no corrections) = 0.296 eV/atom
data_NiSbTe2I
_chemical_formula_sum 'Ni1 Sb1 Te2 I1'
_symmetry_space_group_name_H-M 'P 1'
_symmetry_Int_Tables_number 1
_symmetry_space_group_name_Hall 'P 1'
_cell_length_a 5.091
_cell_length_b 5.091
_cell_length_c 5.140
_cell_angle_alpha 90.00
_cell_angle_beta 90.00
_cell_angle_gamma 90.00
loop_
_atom_site_label
_atom_site_fract_x
_atom_site_fract_y
_atom_site_fract_z
_atom_site_occupancy
I1 0.500 0.500 0.500 1
Sb1 0.000 0.000 0.500 1
Te1 0.000 0.500 0.000 1
Te2 0.500 0.000 0.000 1
Ni1 0.000 0.000 0.000 1

No. 18
# GGA-PBE NiSbTeI2, optimized geometry
# relative energy among the computed polymorphs = 0.00 eV/f.u.
# energy = -2.958 eV per atom
# formation energy (no corrections) = 0.271 eV/atom
data_NiSbTeI2
_chemical_formula_sum 'Ni1 Sb1 Te1 I2'
_symmetry_space_group_name_H-M 'P 1'
_symmetry_Int_Tables_number 1
_symmetry_space_group_name_Hall 'P 1'
_cell_length_a 5.148
_cell_length_b 5.148
_cell_length_c 5.269
_cell_angle_alpha 90.00
_cell_angle_beta 90.00
_cell_angle_gamma 90.00
loop_
_atom_site_label
_atom_site_fract_x
_atom_site_fract_y
_atom_site_fract_z
_atom_site_occupancy
I1 0.000 0.500 0.000 1
I2 0.500 0.000 0.000 1
Sb1 0.500 0.500 0.500 1
Te1 0.000 0.000 0.500 1
Ni1 0.000 0.000 0.000 1

No. 19
# GGA-PBE NiSbTeI2, optimized geometry
# relative energy among the computed polymorphs = 2.76 eV/f.u.
# energy = -2.407 eV per atom
# formation energy (no corrections) = 0.822 eV/atom
data_NiSbTeI2
_chemical_formula_sum 'Ni1 Sb1 Te1 I2'
_symmetry_space_group_name_H-M 'P 1'
_symmetry_Int_Tables_number 1
_symmetry_space_group_name_Hall 'P 1'
_cell_length_a 5.943
_cell_length_b 5.943
_cell_length_c 5.854
_cell_angle_alpha 90.00
_cell_angle_beta 90.00
_cell_angle_gamma 90.00
loop_
_atom_site_label
_atom_site_fract_x
_atom_site_fract_y
_atom_site_fract_z
_atom_site_occupancy
I1 0.000 0.500 0.000 1
I2 0.500 0.000 0.000 1
Sb1 0.000 0.000 0.000 1
Te1 0.000 0.000 0.500 1
Ni1 0.500 0.500 0.500 1

No. 20
# GGA-PBE NiSbTe2I, optimized geometry
# relative energy among the computed polymorphs = 0.00 eV/f.u.
# energy = -3.270 eV per atom
# formation energy (no corrections) = 0.277 eV/atom
data_NiSbTe2I
_chemical_formula_sum 'Ni1 Sb1 Te2 I1'
_symmetry_space_group_name_H-M 'P 1'
_symmetry_Int_Tables_number 1
_symmetry_space_group_name_Hall 'P 1'
_cell_length_a 5.104
_cell_length_b 5.104
_cell_length_c 5.179
_cell_angle_alpha 90.00
_cell_angle_beta 90.00
_cell_angle_gamma 90.00
loop_
_atom_site_label
_atom_site_fract_x
_atom_site_fract_y
_atom_site_fract_z
_atom_site_occupancy
I1 0.000 0.000 0.500 1
Sb1 0.500 0.500 0.500 1
Te1 0.000 0.500 0.000 1
Te2 0.500 0.000 0.000 1
Ni1 0.000 0.000 0.000 1